Entry from Alexandria via LeMat-Bulk: a relaxed K3Rb2Cl5 crystal (PBE).

* E: -3.3600 eV/atom

```
data_K3Rb2Cl5
_chemical_formula_sum 'K6 Rb4 Cl10'
_cell_length_a 16.371
_cell_length_b 4.540
_cell_length_c 11.698
_cell_angle_alpha 90.00
_cell_angle_beta 125.67
_cell_angle_gamma 90.00
_symmetry_space_group_name_H-M 'C 1 2/m 1'
_symmetry_Int_Tables_number 12
loop_
_symmetry_equiv_pos_as_xyz
'x,y,z'
'-x,-y,-z'
'-x,y,-z'
'x,-y,z'
'x+1/2,y+1/2,z'
'-x+1/2,-y+1/2,-z'
'-x+1/2,y+1/2,-z'
'x+1/2,-y+1/2,z'
loop_
_atom_site_label
_atom_site_fract_x
_atom_site_fract_y
_atom_site_fract_z
K1 0.000 0.000 0.000
K2 0.115 0.500 0.374
Rb1 0.175 0.000 0.775
Cl1 0.000 0.500 0.500
Cl2 0.095 0.500 0.911
Cl3 0.205 0.000 0.304
```

Entry from Alexandria via LeMat-Bulk: a relaxed KRbCl2 crystal (PBE).

* E: -3.3149 eV/atom
* energy above the most stable polymorph in this dataset: 0.072 eV/atom

```
data_KRbCl2
_chemical_formula_sum 'K4 Rb4 Cl8'
_cell_length_a 7.847
_cell_length_b 7.847
_cell_length_c 7.847
_cell_angle_alpha 90.00
_cell_angle_beta 90.00
_cell_angle_gamma 90.00
_symmetry_space_group_name_H-M 'F m -3 m'
_symmetry_Int_Tables_number 225
_symmetry_space_group_name_Hall '-F 4 2 3'
loop_
_atom_site_label
_atom_site_fract_x
_atom_site_fract_y
_atom_site_fract_z
K1 0.000 0.000 0.000
Rb1 0.000 0.000 0.500
Cl1 0.250 0.250 0.250
```

Entry from Alexandria via LeMat-Bulk: a relaxed K2Rb4Cl crystal (PBE).

* E: -1.6075 eV/atom

```
data_K2Rb4Cl
_chemical_formula_sum 'K4 Rb8 Cl2'
_cell_length_a 6.602
_cell_length_b 6.602
_cell_length_c 24.003
_cell_angle_alpha 90.00
_cell_angle_beta 90.00
_cell_angle_gamma 90.00
_symmetry_space_group_name_H-M 'I 4/m m m'
_symmetry_Int_Tables_number 139
_symmetry_space_group_name_Hall '-I 4 2'
loop_
_atom_site_label
_atom_site_fract_x
_atom_site_fract_y
_atom_site_fract_z
K1 0.000 0.000 0.170
Rb1 0.000 0.000 0.359
Rb2 0.000 0.500 0.000
Cl1 0.000 0.000 0.500
```

Entry from Alexandria via LeMat-Bulk: a relaxed K3RbCl4 crystal (PBE).

* E: -3.4041 eV/atom
* energy above the most stable polymorph in this dataset: 0.003 eV/atom

```
data_K3RbCl4
_chemical_formula_sum 'K3 Rb1 Cl4'
_cell_length_a 6.460
_cell_length_b 6.460
_cell_length_c 6.460
_cell_angle_alpha 90.00
_cell_angle_beta 90.00
_cell_angle_gamma 90.00
_symmetry_space_group_name_H-M 'P m -3 m'
_symmetry_Int_Tables_number 221
_symmetry_space_group_name_Hall '-P 4 2 3'
loop_
_atom_site_label
_atom_site_fract_x
_atom_site_fract_y
_atom_site_fract_z
K1 0.000 0.000 0.500
Rb1 0.500 0.500 0.500
Cl1 0.000 0.000 0.000
Cl2 0.000 0.500 0.500
```

Entry from Alexandria via LeMat-Bulk: a relaxed K3RbCl crystal (PBE).

* E: -1.9072 eV/atom
* energy above the most stable polymorph in this dataset: 0.000 eV/atom

```
data_K3RbCl
_chemical_formula_sum 'K3 Rb1 Cl1'
_cell_length_a 6.630
_cell_length_b 6.630
_cell_length_c 6.630
_cell_angle_alpha 90.00
_cell_angle_beta 90.00
_cell_angle_gamma 90.00
_symmetry_space_group_name_H-M 'P m -3 m'
_symmetry_Int_Tables_number 221
_symmetry_space_group_name_Hall '-P 4 2 3'
loop_
_atom_site_label
_atom_site_fract_x
_atom_site_fract_y
_atom_site_fract_z
K1 0.000 0.000 0.500
Rb1 0.500 0.500 0.500
Cl1 0.000 0.000 0.000
```

Entry from Alexandria via LeMat-Bulk: a relaxed KRbCl crystal (PBE).

* E: -2.4894 eV/atom
* energy above the most stable polymorph in this dataset: 0.052 eV/atom

```
data_KRbCl
_chemical_formula_sum 'K2 Rb2 Cl2'
_cell_length_a 4.089
_cell_length_b 4.089
_cell_length_c 15.954
_cell_angle_alpha 90.00
_cell_angle_beta 90.00
_cell_angle_gamma 90.00
_symmetry_space_group_name_H-M 'I 4 m m'
_symmetry_Int_Tables_number 107
_symmetry_space_group_name_Hall 'I 4 -2'
loop_
_atom_site_label
_atom_site_fract_x
_atom_site_fract_y
_atom_site_fract_z
K1 0.000 0.000 0.000
Rb1 0.000 0.000 0.761
Cl1 0.000 0.000 0.387
```

Entry from Alexandria via LeMat-Bulk: a relaxed K2RbCl3 crystal (PBE).

* E: -3.3995 eV/atom

```
data_K2RbCl3
_chemical_formula_sum 'K4 Rb2 Cl6'
_cell_length_a 4.573
_cell_length_b 6.493
_cell_length_c 13.759
_cell_angle_alpha 90.00
_cell_angle_beta 90.00
_cell_angle_gamma 90.00
_symmetry_space_group_name_H-M 'I m m m'
_symmetry_Int_Tables_number 71
_symmetry_space_group_name_Hall '-I 2 2'
loop_
_atom_site_label
_atom_site_fract_x
_atom_site_fract_y
_atom_site_fract_z
K1 0.000 0.000 0.166
Rb1 0.000 0.000 0.500
Cl1 0.000 0.500 0.174
Cl2 0.000 0.500 0.500
```

Entry from Alexandria via LeMat-Bulk: a relaxed KRb2Cl2 crystal (PBE).

* E: -2.7526 eV/atom
* energy above the most stable polymorph in this dataset: 0.000 eV/atom

```
data_KRb2Cl2
_chemical_formula_sum 'K2 Rb4 Cl4'
_cell_length_a 9.102
_cell_length_b 9.102
_cell_length_c 4.717
_cell_angle_alpha 90.00
_cell_angle_beta 90.00
_cell_angle_gamma 90.00
_symmetry_space_group_name_H-M 'P 4/m b m'
_symmetry_Int_Tables_number 127
_symmetry_space_group_name_Hall '-P 4 2ab'
loop_
_atom_site_label
_atom_site_fract_x
_atom_site_fract_y
_atom_site_fract_z
K1 0.000 0.000 0.000
Rb1 0.150 0.350 0.500
Cl1 0.158 0.658 0.000
```

Entry from Alexandria via LeMat-Bulk: a relaxed KRb2ReCl8 crystal (PBE).

* E: -3.7471 eV/atom

```
data_KRb2ReCl8
_chemical_formula_sum 'K1 Rb2 Re1 Cl8'
_cell_length_a 5.988
_cell_length_b 7.441
_cell_length_c 9.944
_cell_angle_alpha 89.96
_cell_angle_beta 89.97
_cell_angle_gamma 73.23
_symmetry_space_group_name_H-M 'P -1'
_symmetry_Int_Tables_number 2
loop_
_symmetry_equiv_pos_as_xyz
'x,y,z'
'-x,-y,-z'
loop_
_atom_site_label
_atom_site_fract_x
_atom_site_fract_y
_atom_site_fract_z
K1 0.000 0.000 0.000
Rb1 0.499 0.500 0.249
Re1 0.000 0.000 0.500
Cl1 0.077 0.196 0.331
Cl2 0.077 0.196 0.669
Cl3 0.389 0.821 0.500
Cl4 0.480 0.241 0.000
```

Entry from Alexandria via LeMat-Bulk: a relaxed KRbReCl6 crystal (PBE).

* E: -4.0871 eV/atom

```
data_KRbReCl6
_chemical_formula_sum 'K2 Rb2 Re2 Cl12'
_cell_length_a 7.7221
_cell_length_b 7.7221
_cell_length_c 11.5833
_cell_angle_alpha 90.00
_cell_angle_beta 90.00
_cell_angle_gamma 120.00
_symmetry_space_group_name_H-M 'P -3 1 c'
_symmetry_Int_Tables_number 163
_symmetry_space_group_name_Hall '-P 3 2c'
loop_
_atom_site_label
_atom_site_fract_x
_atom_site_fract_y
_atom_site_fract_z
K1 0.0000 0.0000 0.0000
Rb1 0.3333 0.6667 0.2500
Re1 0.3333 0.6667 0.7500
Cl1 0.0855 0.4125 0.6304
```

Entry from Alexandria via LeMat-Bulk: a relaxed KRbRhCl6 crystal (PBE).

* E: -3.3982 eV/atom

```
data_KRbRhCl6
_chemical_formula_sum 'K1 Rb1 Rh1 Cl6'
_cell_length_a 7.4292
_cell_length_b 7.4292
_cell_length_c 6.4581
_cell_angle_alpha 90.00
_cell_angle_beta 90.00
_cell_angle_gamma 120.00
_symmetry_space_group_name_H-M 'P 3 1 2'
_symmetry_Int_Tables_number 149
loop_
_symmetry_equiv_pos_as_xyz
'x,y,z'
'-y,x-y,z'
'-x+y,-x,z'
'-y,-x,-z'
'-x+y,y,-z'
'x,x-y,-z'
loop_
_atom_site_label
_atom_site_fract_x
_atom_site_fract_y
_atom_site_fract_z
K1 0.0000 0.0000 0.0000
Rb1 0.6667 0.3333 0.5000
Rh1 0.3333 0.6667 0.0000
Cl1 0.0767 0.4089 0.2119
```

Entry from Alexandria via LeMat-Bulk: a relaxed K2RbRhCl6 crystal (PBE).

* E: -3.5643 eV/atom

```
data_K2RbRhCl6
_chemical_formula_sum 'K4 Rb2 Rh2 Cl12'
_cell_length_a 7.039
_cell_length_b 10.752
_cell_length_c 8.714
_cell_angle_alpha 90.00
_cell_angle_beta 90.00
_cell_angle_gamma 90.00
_symmetry_space_group_name_H-M 'P m m n'
_symmetry_Int_Tables_number 59
loop_
_symmetry_equiv_pos_as_xyz
'x,y,z'
'-x,-y,-z'
'-x+1/2,-y+1/2,z'
'x+1/2,y+1/2,-z'
'x+1/2,-y,-z'
'-x+1/2,y,z'
'-x,y+1/2,-z'
'x,-y+1/2,z'
loop_
_atom_site_label
_atom_site_fract_x
_atom_site_fract_y
_atom_site_fract_z
K1 0.250 0.052 0.164
Rb1 0.250 0.250 0.674
Rh1 0.250 0.750 0.818
Cl1 0.009 0.750 0.628
Cl2 0.017 0.750 0.016
Cl3 0.250 0.529 0.816
```

Entry from Alexandria via LeMat-Bulk: a relaxed K2RbRhCl8 crystal (PBE).

* E: -3.2713 eV/atom

```
data_K2RbRhCl8
_chemical_formula_sum 'K2 Rb1 Rh1 Cl8'
_cell_length_a 5.677
_cell_length_b 6.789
_cell_length_c 9.212
_cell_angle_alpha 90.00
_cell_angle_beta 105.48
_cell_angle_gamma 90.00
_symmetry_space_group_name_H-M 'P 1 2/m 1'
_symmetry_Int_Tables_number 10
loop_
_symmetry_equiv_pos_as_xyz
'x,y,z'
'-x,-y,-z'
'-x,y,-z'
'x,-y,z'
loop_
_atom_site_label
_atom_site_fract_x
_atom_site_fract_y
_atom_site_fract_z
K1 0.161 0.000 0.312
Rb1 0.500 0.500 0.000
Rh1 0.500 0.500 0.500
Cl1 0.165 0.500 0.284
Cl2 0.253 0.000 0.996
Cl3 0.325 0.256 0.618
```

Entry from Alexandria via LeMat-Bulk: a relaxed KRbRuCl6 crystal (PBE).

* E: -3.6417 eV/atom

```
data_KRbRuCl6
_chemical_formula_sum 'K1 Rb1 Ru1 Cl6'
_cell_length_a 7.4228
_cell_length_b 7.4228
_cell_length_c 6.5900
_cell_angle_alpha 90.00
_cell_angle_beta 90.00
_cell_angle_gamma 120.00
_symmetry_space_group_name_H-M 'P 3 1 2'
_symmetry_Int_Tables_number 149
loop_
_symmetry_equiv_pos_as_xyz
'x,y,z'
'-y,x-y,z'
'-x+y,-x,z'
'-y,-x,-z'
'-x+y,y,-z'
'x,x-y,-z'
loop_
_atom_site_label
_atom_site_fract_x
_atom_site_fract_y
_atom_site_fract_z
K1 0.0000 0.0000 0.0000
Rb1 0.6667 0.3333 0.5000
Ru1 0.3333 0.6667 0.0000
Cl1 0.0753 0.4085 0.2084
```

Entry from Alexandria via LeMat-Bulk: a relaxed K2RbRuCl6 crystal (PBE).

* E: -3.7096 eV/atom

```
data_K2RbRuCl6
_chemical_formula_sum 'K12 Rb6 Ru6 Cl36'
_cell_length_a 7.0993
_cell_length_b 7.0993
_cell_length_c 47.1024
_cell_angle_alpha 90.00
_cell_angle_beta 90.00
_cell_angle_gamma 120.00
_symmetry_space_group_name_H-M 'R -3 m'
_symmetry_Int_Tables_number 166
_symmetry_space_group_name_Hall '-R 3 2"'
loop_
_atom_site_label
_atom_site_fract_x
_atom_site_fract_y
_atom_site_fract_z
K1 0.0000 0.0000 0.1468
K2 0.0000 0.0000 0.3138
Rb1 0.0000 0.0000 0.4149
Ru1 0.0000 0.0000 0.0000
Ru2 0.0000 0.0000 0.5000
Cl1 0.0170 0.5085 0.1370
Cl2 0.0192 0.5096 0.6964
```

Entry from Alexandria via LeMat-Bulk: a relaxed K2RbRuCl8 crystal (PBE).

* E: -3.4450 eV/atom

```
data_K2RbRuCl8
_chemical_formula_sum 'K2 Rb1 Ru1 Cl8'
_cell_length_a 5.822
_cell_length_b 6.793
_cell_length_c 9.230
_cell_angle_alpha 89.92
_cell_angle_beta 73.81
_cell_angle_gamma 89.56
_symmetry_space_group_name_H-M 'P -1'
_symmetry_Int_Tables_number 2
loop_
_symmetry_equiv_pos_as_xyz
'x,y,z'
'-x,-y,-z'
loop_
_atom_site_label
_atom_site_fract_x
_atom_site_fract_y
_atom_site_fract_z
K1 0.161 0.003 0.192
Rb1 0.500 0.500 0.500
Ru1 0.500 0.500 0.000
Cl1 0.170 0.501 0.217
Cl2 0.254 0.000 0.505
Cl3 0.325 0.745 0.885
Cl4 0.327 0.258 0.884
```

Entry from Alexandria via LeMat-Bulk: a relaxed KRb2RuCl8 crystal (PBE).

* E: -3.4029 eV/atom

```
data_KRb2RuCl8
_chemical_formula_sum 'K1 Rb2 Ru1 Cl8'
_cell_length_a 5.997
_cell_length_b 7.126
_cell_length_c 9.990
_cell_angle_alpha 89.90
_cell_angle_beta 89.95
_cell_angle_gamma 75.97
_symmetry_space_group_name_H-M 'P -1'
_symmetry_Int_Tables_number 2
loop_
_symmetry_equiv_pos_as_xyz
'x,y,z'
'-x,-y,-z'
loop_
_atom_site_label
_atom_site_fract_x
_atom_site_fract_y
_atom_site_fract_z
K1 0.000 0.000 0.000
Rb1 0.499 0.499 0.256
Ru1 0.000 0.000 0.500
Cl1 0.079 0.205 0.332
Cl2 0.081 0.203 0.668
Cl3 0.379 0.823 0.499
Cl4 0.482 0.236 0.000
```

Entry from Alexandria via LeMat-Bulk: a relaxed KRbS2Cl crystal (PBE).

* E: -2.6655 eV/atom
* energy above the most stable polymorph in this dataset: 0.000 eV/atom

```
data_KRbS2Cl
_chemical_formula_sum 'K1 Rb1 S2 Cl1'
_cell_length_a 6.007
_cell_length_b 6.007
_cell_length_c 5.911
_cell_angle_alpha 90.00
_cell_angle_beta 90.00
_cell_angle_gamma 90.00
_symmetry_space_group_name_H-M 'P 4/m m m'
_symmetry_Int_Tables_number 123
_symmetry_space_group_name_Hall '-P 4 2'
loop_
_atom_site_label
_atom_site_fract_x
_atom_site_fract_y
_atom_site_fract_z
K1 0.000 0.000 0.000
Rb1 0.500 0.500 0.500
S1 0.000 0.500 0.000
Cl1 0.000 0.000 0.500
```

Entry from Alexandria via LeMat-Bulk: a relaxed K2RbSCl crystal (PBE).

* E: -3.0485 eV/atom

```
data_K2RbSCl
_chemical_formula_sum 'K2 Rb1 S1 Cl1'
_cell_length_a 5.964
_cell_length_b 5.964
_cell_length_c 6.313
_cell_angle_alpha 90.00
_cell_angle_beta 90.00
_cell_angle_gamma 90.00
_symmetry_space_group_name_H-M 'P 4/m m m'
_symmetry_Int_Tables_number 123
_symmetry_space_group_name_Hall '-P 4 2'
loop_
_atom_site_label
_atom_site_fract_x
_atom_site_fract_y
_atom_site_fract_z
K1 0.000 0.500 0.000
Rb1 0.000 0.000 0.500
S1 0.000 0.000 0.000
Cl1 0.500 0.500 0.500
```

Entry from Alexandria via LeMat-Bulk: a relaxed KRbSCl crystal (PBE).

* E: -3.0689 eV/atom

```
data_KRbSCl
_chemical_formula_sum 'K4 Rb4 S4 Cl4'
_cell_length_a 7.928
_cell_length_b 7.928
_cell_length_c 7.928
_cell_angle_alpha 90.00
_cell_angle_beta 90.00
_cell_angle_gamma 90.00
_symmetry_space_group_name_H-M 'F -4 3 m'
_symmetry_Int_Tables_number 216
_symmetry_space_group_name_Hall 'F -4 2 3'
loop_
_atom_site_label
_atom_site_fract_x
_atom_site_fract_y
_atom_site_fract_z
K1 0.000 0.000 0.000
Rb1 0.000 0.000 0.500
S1 0.250 0.250 0.250
Cl1 0.250 0.250 0.750
```

Entry from Alexandria via LeMat-Bulk: a relaxed KRbS2Cl crystal (PBE).

* E: -2.5539 eV/atom
* energy above the most stable polymorph in this dataset: 0.112 eV/atom

```
data_KRbS2Cl
_chemical_formula_sum 'K1 Rb1 S2 Cl1'
_cell_length_a 6.181
_cell_length_b 6.181
_cell_length_c 6.145
_cell_angle_alpha 90.00
_cell_angle_beta 90.00
_cell_angle_gamma 90.00
_symmetry_space_group_name_H-M 'P 4/m m m'
_symmetry_Int_Tables_number 123
_symmetry_space_group_name_Hall '-P 4 2'
loop_
_atom_site_label
_atom_site_fract_x
_atom_site_fract_y
_atom_site_fract_z
K1 0.000 0.000 0.000
Rb1 0.500 0.500 0.500
S1 0.000 0.500 0.500
Cl1 0.500 0.500 0.000
```

Entry from Alexandria via LeMat-Bulk: a relaxed K2RbSbCl6 crystal (PBE).

* E: -3.2922 eV/atom
* energy above the most stable polymorph in this dataset: 0.094 eV/atom

```
data_K2RbSbCl6
_chemical_formula_sum 'K8 Rb4 Sb4 Cl24'
_cell_length_a 11.501
_cell_length_b 11.501
_cell_length_c 11.501
_cell_angle_alpha 90.00
_cell_angle_beta 90.00
_cell_angle_gamma 90.00
_symmetry_space_group_name_H-M 'F m -3 m'
_symmetry_Int_Tables_number 225
_symmetry_space_group_name_Hall '-F 4 2 3'
loop_
_atom_site_label
_atom_site_fract_x
_atom_site_fract_y
_atom_site_fract_z
K1 0.250 0.250 0.250
Rb1 0.000 0.000 0.000
Sb1 0.000 0.000 0.500
Cl1 0.000 0.000 0.269
```

Entry from Alexandria via LeMat-Bulk: a relaxed K2RbSbCl6 crystal (PBE).

* E: -3.3859 eV/atom
* energy above the most stable polymorph in this dataset: 0.000 eV/atom

```
data_K2RbSbCl6
_chemical_formula_sum 'K6 Rb3 Sb3 Cl18'
_cell_length_a 7.8161
_cell_length_b 7.8161
_cell_length_c 20.3121
_cell_angle_alpha 90.00
_cell_angle_beta 90.00
_cell_angle_gamma 120.00
_symmetry_space_group_name_H-M 'R 3'
_symmetry_Int_Tables_number 146
_symmetry_space_group_name_Hall 'R 3'
loop_
_atom_site_label
_atom_site_fract_x
_atom_site_fract_y
_atom_site_fract_z
K1 0.0000 0.0000 0.0000
K2 0.0000 0.0000 0.4865
Rb1 0.0000 0.0000 0.2057
Sb1 0.0000 0.0000 0.6941
Cl1 0.0184 0.3878 0.4307
Cl2 0.0711 0.6727 0.2791
```